Entry 1:
DFT (PBE) results for a geometry-optimized CaPd2C structure.

abc: 5.073 5.361 5.769
angles: 94.50 97.88 116.89
Atoms (fractional coordinates):
Ca 0.000 0.000 0.000
Ca 0.255 0.573 0.659
Pd 0.050 0.969 0.496
Pd 0.477 0.793 0.240
Pd 0.607 0.263 0.821
Pd 0.608 0.355 0.353
C 0.508 0.491 0.047
C 0.714 0.077 0.550

DFT formation energy in eV/atom: -0.0321
Magnetic moment in μB/f.u.: 0.0
Fermi-level density of states in states/eV/atom: 0.277



Entry 2:
DFT (PBE) results for a geometry-optimized Pr4Bi2Ir structure.

abc: 7.212 6.918 9.103
angles: 90.00 103.59 90.00
Atoms (fractional coordinates):
Pr 0.161 0.011 0.295
Pr 0.161 0.489 0.295
Pr 0.300 0.250 0.917
Pr 0.308 0.750 0.657
Pr 0.692 0.250 0.343
Pr 0.700 0.750 0.083
Pr 0.839 0.511 0.705
Pr 0.839 0.989 0.705
Bi 0.184 0.750 0.979
Bi 0.438 0.250 0.605
Bi 0.562 0.750 0.395
Bi 0.816 0.250 0.021
Ir 0.042 0.250 0.575
Ir 0.958 0.750 0.425

DFT formation energy in eV/atom: -0.6473
Magnetic moment in μB/f.u.: 0.0
Fermi-level density of states in states/eV/atom: 0.709



Entry 3:
DFT (PBE) results for a geometry-optimized TaCd2Te structure.

abc: 8.351 8.351 5.573
angles: 90.00 90.00 90.00
Atoms (fractional coordinates):
Ta 0.000 0.000 0.000
Ta 0.000 0.500 0.250
Ta 0.500 0.000 0.750
Ta 0.500 0.500 0.500
Cd 0.231 0.250 0.125
Cd 0.250 0.731 0.375
Cd 0.250 0.769 0.875
Cd 0.269 0.250 0.625
Cd 0.731 0.750 0.625
Cd 0.750 0.231 0.875
Cd 0.750 0.269 0.375
Cd 0.769 0.750 0.125
Te 0.000 0.000 0.500
Te 0.000 0.500 0.750
Te 0.500 0.000 0.250
Te 0.500 0.500 0.000

Magnetic moment in μB/f.u.: 0.0
Formation energy (no corrections) in meV per atom: 611
Fermi-level density of states in states/eV/atom: 1.107



Entry 4:
DFT (PBE) results for a geometry-optimized CdAg5Te4 structure.

abc: 8.917 8.917 8.917
angles: 151.68 124.42 63.54
Atoms (fractional coordinates):
Cd 0.000 0.000 0.000
Ag 0.051 0.314 0.738
Ag 0.424 0.686 0.738
Ag 0.500 0.000 0.500
Ag 0.576 0.314 0.262
Ag 0.949 0.686 0.262
Te 0.196 0.196 0.000
Te 0.277 0.500 0.777
Te 0.723 0.500 0.223
Te 0.804 0.804 0.000

Magnetic moment in μB/f.u.: 0.0
Formation energy (no corrections) in meV per atom: -59
Fermi-level density of states in states/eV/atom: 0.410



Entry 5:
DFT (PBE) results for a geometry-optimized NaZr2Rh2 structure.

abc: 7.994 7.994 3.082
angles: 90.00 90.00 90.00
Atoms (fractional coordinates):
Na 0.000 0.000 0.000
Na 0.500 0.500 0.000
Zr 0.146 0.354 0.000
Zr 0.354 0.854 0.000
Zr 0.646 0.146 0.000
Zr 0.854 0.646 0.000
Rh 0.145 0.645 0.500
Rh 0.355 0.145 0.500
Rh 0.645 0.855 0.500
Rh 0.855 0.355 0.500

DFT formation energy in eV/atom: -0.3722
Excess energy over the best structure of this formula in the dataset in meV/atom: 64.1
Magnetic moment in μB/f.u.: 0.0
Fermi-level density of states in states/eV/atom: 0.925



Entry 6:
DFT (PBE) results for a geometry-optimized Ga3OsC structure.

abc: 4.799 4.799 4.799
angles: 90.00 90.00 90.00
Atoms (fractional coordinates):
Ga 0.000 0.000 0.500
Ga 0.000 0.500 0.000
Ga 0.500 0.000 0.000
Os 0.000 0.000 0.000
C 0.500 0.500 0.500

DFT formation energy in eV/atom: 1.3161
Excess energy over the best structure of this formula in the dataset in meV/atom: 310.0
Magnetic moment in μB/f.u.: 2.0
Fermi-level density of states in states/eV/atom: 0.504



Entry 7:
DFT (PBE) results for a geometry-optimized Pm2NiSn4Ir3 structure.

abc: 4.463 4.463 10.875
angles: 90.00 90.00 90.00
Atoms (fractional coordinates):
Pm 0.000 0.500 0.249
Pm 0.500 0.000 0.751
Ni 0.500 0.500 0.000
Sn 0.000 0.000 0.500
Sn 0.000 0.500 0.874
Sn 0.500 0.000 0.126
Sn 0.500 0.500 0.500
Ir 0.000 0.000 0.000
Ir 0.000 0.500 0.635
Ir 0.500 0.000 0.365

DFT formation energy in eV/atom: -0.5187
Magnetic moment in μB/f.u.: 0.0
Fermi-level density of states in states/eV/atom: 0.838



Entry 8:
DFT (PBE) results for a geometry-optimized K2LiGaP structure.

abc: 6.144 6.144 4.961
angles: 90.00 90.00 90.00
Atoms (fractional coordinates):
K 0.000 0.500 0.000
K 0.500 0.000 0.000
Li 0.000 0.000 0.500
Ga 0.000 0.000 0.000
P 0.500 0.500 0.500

DFT formation energy in eV/atom: 0.5388
Magnetic moment in μB/f.u.: 1.2
Fermi-level density of states in states/eV/atom: 0.850



- The highest Fermi-level density of states belongs to which entry?
  TaCd2Te